(1)
DFT (PBE) results for TcHgCl2 after structural relaxation.

Cell lengths 5.9708, 5.9708, 5.9708 Å; angles 147.76, 112.61, 76.68 degrees
Positions (direct):
Tc (0.0000, 0.0000, 0.0000)
Hg (0.7574, 0.2574, 0.5000)
Cl (0.1780, 0.6780, 0.5000)
Cl (0.5274, 0.5274, 0.0000)

Computed properties:
As for the total magnetization: 3.00 μB per formula unit. Its raw total energy is -13.74 eV/cell. The value obtained for the formation energy from raw total energies is 0.62 eV per formula unit. The density of states at the Fermi level is 2.14 states/eV/f.u.


(2)
DFT (PBE) results for Er4BiTeSe2 after structural relaxation.

Cell lengths 8.4253, 8.4253, 8.4253 Å; angles 120.20, 119.80, 90.00 degrees
Positions (direct):
Er (0.2611, 0.2429, 0.4818)
Er (0.2611, 0.7792, 0.0182)
Er (0.2632, 0.2408, 0.0224)
Er (0.2816, 0.7592, 0.5224)
Er (0.7184, 0.2408, 0.4776)
Er (0.7368, 0.7592, 0.9776)
Er (0.7389, 0.2208, 0.9818)
Er (0.7389, 0.7571, 0.5182)
Bi (0.0000, 0.5000, 0.5000)
Bi (0.5000, 0.5000, 0.0000)
Te (0.0000, 0.0000, 0.5000)
Te (0.0000, 0.5000, 0.0000)
Se (0.0000, 0.0000, 0.0000)
Se (0.5000, 0.0000, 0.0000)
Se (0.5000, 0.0000, 0.5000)
Se (0.5000, 0.5000, 0.5000)

Computed properties:
As for the total magnetization: 0.00 μB per formula unit. Its raw total energy is -86.17 eV/cell. The value obtained for the formation energy from raw total energies is -10.84 eV per formula unit. The density of states at the Fermi level is 3.43 states/eV/f.u.


(3)
DFT (PBE) results for NaTe3S7 after structural relaxation.

Cell lengths 6.1708, 6.1708, 7.0942 Å; angles 98.02, 98.02, 106.44 degrees
Positions (direct):
Na (0.0000, 0.0000, 0.0000)
Te (0.2920, 0.7080, 0.5000)
Te (0.5000, 0.5000, 0.0000)
Te (0.7080, 0.2920, 0.5000)
S (0.0000, 0.0000, 0.5000)
S (0.1244, 0.5433, 0.7920)
S (0.2686, 0.2686, 0.3648)
S (0.4567, 0.8756, 0.2080)
S (0.5433, 0.1244, 0.7920)
S (0.7314, 0.7314, 0.6352)
S (0.8756, 0.4567, 0.2080)

Computed properties:
As for the total magnetization: 0.00 μB per formula unit. Its raw total energy is -38.77 eV/cell. The value obtained for the formation energy from raw total energies is 0.87 eV per formula unit. The density of states at the Fermi level is 4.95 states/eV/f.u.


(4)
DFT (PBE) results for GaNi4Pt9 after structural relaxation.

Cell lengths 7.5755, 7.5755, 8.1848 Å; angles 90.00, 90.00, 120.00 degrees
Positions (direct):
Ga (0.3333, 0.6667, 0.2500)
Ga (0.6667, 0.3333, 0.7500)
Ni (0.0000, 0.0000, 0.0000)
Ni (0.0000, 0.0000, 0.5000)
Ni (0.1060, 0.2120, 0.7500)
Ni (0.1060, 0.8940, 0.7500)
Ni (0.2120, 0.1060, 0.2500)
Ni (0.7880, 0.8940, 0.7500)
Ni (0.8940, 0.1060, 0.2500)
Ni (0.8940, 0.7880, 0.2500)
Pt (0.0742, 0.5371, 0.7500)
Pt (0.2021, 0.4043, 0.0328)
Pt (0.2021, 0.4043, 0.4672)
Pt (0.2021, 0.7979, 0.0328)
Pt (0.2021, 0.7979, 0.4672)
Pt (0.4043, 0.2021, 0.5328)
Pt (0.4043, 0.2021, 0.9672)
Pt (0.4629, 0.5371, 0.7500)
Pt (0.4629, 0.9258, 0.7500)
Pt (0.5371, 0.0742, 0.2500)
Pt (0.5371, 0.4629, 0.2500)
Pt (0.5957, 0.7979, 0.0328)
Pt (0.5957, 0.7979, 0.4672)
Pt (0.7979, 0.2021, 0.5328)
Pt (0.7979, 0.2021, 0.9672)
Pt (0.7979, 0.5957, 0.5328)
Pt (0.7979, 0.5957, 0.9672)
Pt (0.9258, 0.4629, 0.2500)

Computed properties:
As for the total magnetization: 4.28 μB per formula unit. The formation energy comes out at -5.8 kJ/mol of atoms. Its raw total energy is -162.72 eV/cell. The density of states at the Fermi level is 21.82 states/eV/f.u.


(5)
DFT (PBE) results for In3BRu after structural relaxation.

Cell lengths 5.1261, 5.1261, 5.1261 Å; angles 90.00, 90.00, 90.00 degrees
Positions (direct):
In (0.0000, 0.0000, 0.5000)
In (0.0000, 0.5000, 0.0000)
In (0.5000, 0.0000, 0.0000)
B (0.5000, 0.5000, 0.5000)
Ru (0.0000, 0.0000, 0.0000)

Computed properties:
As for the total magnetization: 0.43 μB per formula unit. The formation energy comes out at 98.5 kJ/mol of atoms. Its raw total energy is -19.07 eV/cell. The density of states at the Fermi level is 3.75 states/eV/f.u.


(6)
DFT (PBE) results for Mg2ScCdTe after structural relaxation.

Cell lengths 5.0608, 5.0608, 6.0010 Å; angles 90.00, 90.00, 90.00 degrees
Positions (direct):
Mg (0.0000, 0.5000, 0.0000)
Mg (0.5000, 0.0000, 0.0000)
Sc (0.0000, 0.0000, 0.5000)
Cd (0.5000, 0.5000, 0.0000)
Te (0.5000, 0.5000, 0.5000)

Computed properties:
As for the total magnetization: 0.81 μB per formula unit. Its raw total energy is -11.56 eV/cell. The value obtained for the formation energy from raw total energies is 2.02 eV per formula unit. The density of states at the Fermi level is 4.88 states/eV/f.u.


(7)
DFT (PBE) results for Ta2Hg2As after structural relaxation.

Cell lengths 8.6164, 8.6164, 2.8825 Å; angles 90.00, 90.00, 90.00 degrees
Positions (direct):
Ta (0.1107, 0.3893, 0.0000)
Ta (0.3893, 0.8893, 0.0000)
Ta (0.6107, 0.1107, 0.0000)
Ta (0.8893, 0.6107, 0.0000)
Hg (0.1835, 0.6835, 0.5000)
Hg (0.3165, 0.1835, 0.5000)
Hg (0.6835, 0.8165, 0.5000)
Hg (0.8165, 0.3165, 0.5000)
As (0.0000, 0.0000, 0.5000)
As (0.5000, 0.5000, 0.5000)

Computed properties:
As for the total magnetization: 0.00 μB per formula unit. The formation energy comes out at 66.4 kJ/mol of atoms. Its raw total energy is -51.03 eV/cell. The density of states at the Fermi level is 4.51 states/eV/f.u.


(8)
DFT (PBE) results for CeMnTlCl6 after structural relaxation.

Cell lengths 6.5173, 6.5173, 14.7244 Å; angles 90.00, 90.00, 120.00 degrees
Positions (direct):
Ce (0.3333, 0.6667, 0.2500)
Ce (0.6667, 0.3333, 0.7500)
Mn (0.3333, 0.6667, 0.7500)
Mn (0.6667, 0.3333, 0.2500)
Tl (0.0000, 0.0000, 0.0000)
Tl (0.0000, 0.0000, 0.5000)
Cl (0.0455, 0.3763, 0.6520)
Cl (0.0455, 0.6691, 0.8480)
Cl (0.3309, 0.3763, 0.8480)
Cl (0.3309, 0.9545, 0.6520)
Cl (0.3763, 0.0455, 0.1520)
Cl (0.3763, 0.3309, 0.3480)
Cl (0.6237, 0.6691, 0.6520)
Cl (0.6237, 0.9545, 0.8480)
Cl (0.6691, 0.0455, 0.3480)
Cl (0.6691, 0.6237, 0.1520)
Cl (0.9545, 0.3309, 0.1520)
Cl (0.9545, 0.6237, 0.3480)

Computed properties:
As for the total magnetization: 0.07 μB per formula unit. Its raw total energy is -81.20 eV/cell. The value obtained for the formation energy from raw total energies is -12.05 eV per formula unit. The density of states at the Fermi level is 9.72 states/eV/f.u.